1.
Material: InAgI2
Method: DFT, PBE-GGA
State: relaxed

**Size of the total moment**: 0.0 μB/cell
**Formation energy without anion corrections**: -0.273 eV/atom
**Calculated density**: 3.71 g/cm3
**N(E_F)**: 0.00 states/eV/f.u.

Lattice parameters (Å, degrees): 5.296 5.296 9.298 73.45 73.45 60.00
Positions (direct):
In  0.500  0.500  0.500
Ag  0.000  0.000  0.000
I  0.900  0.900  0.300
I  0.100  0.100  0.700

2.
Material: La3SmY2P6
Method: DFT, PBE-GGA
State: relaxed

**Size of the total moment**: 0.0 μB/cell
**DFT total energy**: -83.880 eV per cell
**Calculated density**: 5.06 g/cm3
**N(E_F)**: 1.05 states/eV/f.u.

Lattice parameters (Å, degrees): 7.207 7.207 7.207 99.59 99.59 120.00
Positions (direct):
Sm  0.000  0.000  0.000
La  0.834  0.166  0.500
La  0.500  0.500  0.500
La  0.166  0.834  0.500
P  0.920  0.584  0.761
P  0.080  0.416  0.239
P  0.584  0.920  0.761
P  0.416  0.080  0.239
P  0.743  0.743  0.238
P  0.257  0.257  0.762
Y  0.667  0.333  0.000
Y  0.333  0.667  0.000

3.
Material: LiSbIr
Method: DFT, PBE-GGA
State: relaxed

**Size of the total moment**: 0.0 μB/cell
**Formation energy without anion corrections**: 0.151 eV/atom
**Calculated density**: 9.62 g/cm3
**N(E_F)**: 1.28 states/eV/f.u.

Lattice parameters (Å, degrees): 7.304 7.013 3.019 83.29 72.48 24.24
Positions (direct):
Sb  0.345  0.345  0.655
Li  0.653  0.653  0.347
Ir  0.002  0.002  0.998

4.
Material: Co2OsPdW
Method: DFT, PBE-GGA
State: relaxed

**Size of the total moment**: 3.6 μB/cell
**DFT total energy**: -32.883 eV per cell
**Calculated density**: 11.15 g/cm3
**N(E_F)**: 8.68 states/eV/f.u.

Lattice parameters (Å, degrees): 4.344 4.722 4.344 90.00 90.00 90.00
Positions (direct):
Pd  0.000  0.000  0.000
Co  0.500  0.000  0.000
Co  0.000  0.000  0.500
Os  0.500  0.500  0.500
W  0.000  0.500  0.000

5.
Material: YScIrO6
Method: DFT, PBE-GGA
State: relaxed

**Size of the total moment**: 5.8 μB/cell
**Formation energy without anion corrections**: -2.210 eV/atom
**Calculated density**: 5.93 g/cm3
**N(E_F)**: 2.99 states/eV/f.u.

Lattice parameters (Å, degrees): 5.290 5.290 9.758 90.00 90.00 120.00
Positions (direct):
O  0.342  0.978  0.638
O  0.978  0.342  0.138
O  0.658  0.635  0.138
O  0.365  0.342  0.362
O  0.022  0.658  0.862
O  0.658  0.022  0.362
O  0.342  0.365  0.862
O  0.978  0.635  0.362
O  0.365  0.022  0.138
O  0.022  0.365  0.638
O  0.635  0.978  0.862
O  0.635  0.658  0.638
Ir  0.667  0.333  0.250
Ir  0.333  0.667  0.750
Y  0.000  0.000  0.500
Y  0.000  0.000  0.000
Sc  0.333  0.667  0.250
Sc  0.667  0.333  0.750

6.
Material: La6GePt3
Method: DFT, PBE-GGA
State: relaxed

**Size of the total moment**: 0.0 μB/cell
**DFT total energy**: -122.407 eV per cell
**Calculated density**: 8.05 g/cm3
**N(E_F)**: 9.78 states/eV/f.u.

Lattice parameters (Å, degrees): 4.324 12.096 12.371 108.13 90.00 90.00
Positions (direct):
Pt  0.250  0.318  0.502
Pt  0.750  0.682  0.498
Pt  0.750  0.153  0.079
Pt  0.750  0.442  0.836
Pt  0.250  0.847  0.921
Pt  0.250  0.558  0.164
Ge  0.250  0.948  0.310
Ge  0.750  0.052  0.690
La  0.750  0.917  0.098
La  0.750  0.120  0.459
La  0.750  0.807  0.757
La  0.750  0.732  0.270
La  0.250  0.083  0.902
La  0.250  0.193  0.243
La  0.750  0.393  0.059
La  0.750  0.474  0.612
La  0.250  0.526  0.388
La  0.250  0.268  0.730
La  0.250  0.607  0.941
La  0.250  0.880  0.541